A plane-wave DFT calculation with PBE-GGA was carried out for a relaxed structure of TbVCo4.

a b c (Å): 4.894 4.894 4.894
angles (deg): 60.00 60.00 60.00
Fractional positions:
Tb1 0.000 0.000 0.000
V1 0.250 0.250 0.250
Co1 0.126 0.625 0.625
Co2 0.625 0.126 0.625
Co3 0.625 0.625 0.126
Co4 0.625 0.625 0.625

Calculated values
As for the space group: F-43m.

A plane-wave DFT calculation with PBE-GGA was carried out for a relaxed structure of NaPm2RhO4.

a b c (Å): 5.215 5.215 5.215
angles (deg): 112.46 112.46 103.65
Fractional positions:
Na1 0.000 0.000 0.000
Pm1 0.250 0.750 0.500
Pm2 0.750 0.250 0.500
Rh1 0.500 0.500 0.000
O1 0.254 0.254 0.508
O2 0.254 0.746 0.000
O3 0.746 0.254 0.000
O4 0.746 0.746 0.492

Calculated values
As for the space group: I4/mmm.

A plane-wave DFT calculation with PBE-GGA was carried out for a relaxed structure of LiTh2B3Pt12.

a b c (Å): 7.314 7.314 7.314
angles (deg): 65.75 65.75 65.75
Fractional positions:
Li1 0.000 0.000 0.000
Th1 0.387 0.387 0.387
Th2 0.613 0.613 0.613
B1 0.000 0.000 0.500
B2 0.000 0.500 0.000
B3 0.500 0.000 0.000
Pt1 0.092 0.672 0.672
Pt2 0.122 0.122 0.627
Pt3 0.122 0.627 0.122
Pt4 0.328 0.328 0.908
Pt5 0.328 0.908 0.328
Pt6 0.373 0.878 0.878
Pt7 0.627 0.122 0.122
Pt8 0.672 0.092 0.672
Pt9 0.672 0.672 0.092
Pt10 0.878 0.373 0.878
Pt11 0.878 0.878 0.373
Pt12 0.908 0.328 0.328

Calculated values
As for the space group: R-3m.

A plane-wave DFT calculation with PBE-GGA was carried out for a relaxed structure of Ag3SnI2Cl6.

a b c (Å): 8.075 8.075 6.260
angles (deg): 93.35 93.35 58.29
Fractional positions:
Ag1 0.000 0.000 0.000
Ag2 0.000 0.500 0.500
Ag3 0.500 0.000 0.500
Sn1 0.500 0.500 0.500
I1 0.180 0.180 0.205
I2 0.820 0.820 0.795
Cl1 0.195 0.648 0.274
Cl2 0.352 0.805 0.726
Cl3 0.361 0.361 0.727
Cl4 0.639 0.639 0.273
Cl5 0.648 0.195 0.274
Cl6 0.805 0.352 0.726

Calculated values
As for the space group: C2/m.

A plane-wave DFT calculation with PBE-GGA was carried out for a relaxed structure of Li3Si2Pd3.

a b c (Å): 4.572 4.712 6.031
angles (deg): 104.35 103.66 110.56
Fractional positions:
Li1 0.000 0.000 0.000
Li2 0.118 0.615 0.237
Li3 0.882 0.385 0.763
Si1 0.265 0.267 0.534
Si2 0.735 0.733 0.466
Pd1 0.351 0.849 0.693
Pd2 0.500 0.500 0.000
Pd3 0.649 0.151 0.307

Calculated values
As for the space group: P-1.

A plane-wave DFT calculation with PBE-GGA was carried out for a relaxed structure of ThZrSc.

a b c (Å): 5.861 5.861 6.603
angles (deg): 107.43 107.43 47.53
Fractional positions:
Th1 0.165 0.165 0.083
Th2 0.835 0.835 0.917
Zr1 0.163 0.163 0.579
Zr2 0.837 0.837 0.421
Sc1 0.494 0.494 0.738
Sc2 0.506 0.506 0.262

Calculated values
As for the space group: C2/m. As for the relative energy among the computed polymorphs: 0.0 kJ/mol of atoms.

For the records above, the corresponding magnetization values read 1.96; 0.00; 0.00; 0.00; 0.00; 0.00 μB per cell.
For the records above, the corresponding VASP energy values read -42.237; -55.404; -119.221; -33.078; -36.090; -22.149 eV per formula unit.
For the records above, the corresponding calculated density values read 8.927; 7.356; 15.182; 4.356; 5.975; 7.735 g/cm3.